AlAsOs2: relaxed, PBE.

Lattice parameters (Å, degrees): 4.730 4.730 4.601 108.22 108.22 36.86
Positions (direct):
Al  0.000  0.000  0.000
As  0.768  0.768  0.361
Os  0.257  0.257  0.910
Os  0.516  0.516  0.500

Summary:
symmetry	Cm
DFT formation energy	-0.02	eV/atom
total magnetic moment	0.00	μB/f.u.
DOS at the Fermi energy	0.243	states/eV per atom

=====

Ho4AlCd2: relaxed, PBE.

Lattice parameters (Å, degrees): 8.876 8.876 8.876 33.73 33.73 33.73
Positions (direct):
Ho  0.122  0.122  0.122
Ho  0.374  0.374  0.374
Ho  0.626  0.626  0.626
Ho  0.878  0.878  0.878
Al  0.500  0.500  0.500
Cd  0.248  0.248  0.248
Cd  0.752  0.752  0.752

Summary:
symmetry	R-3m
DFT formation energy	-0.16	eV/atom
total magnetic moment	0.00	μB/f.u.
DOS at the Fermi energy	1.202	states/eV per atom

=====

Nd2SnSe: relaxed, PBE.

Lattice parameters (Å, degrees): 7.697 7.697 7.697 32.94 32.94 32.94
Positions (direct):
Nd  0.247  0.247  0.247
Nd  0.753  0.753  0.753
Sn  0.000  0.000  0.000
Se  0.500  0.500  0.500

Summary:
symmetry	R-3m
E_form (uncorrected)	-1.28	eV per atom
total magnetic moment	0.00	μB/f.u.
DOS at the Fermi energy	0.412	states/eV per atom

=====

FeNiIr2: relaxed, PBE.

Lattice parameters (Å, degrees): 2.694 2.694 8.346 90.00 90.00 120.00
Positions (direct):
Fe  0.000  0.000  0.000
Ni  0.000  0.000  0.500
Ir  0.333  0.667  0.249
Ir  0.667  0.333  0.751

Summary:
symmetry	P-3m1
DFT formation energy	-0.02	eV/atom
total magnetic moment	2.06	μB/f.u.
DOS at the Fermi energy	1.263	states/eV per atom

=====

ZrCo2Te: relaxed, PBE.

Lattice parameters (Å, degrees): 5.133 5.133 5.133 136.26 136.26 63.57
Positions (direct):
Zr  0.000  0.000  0.000
Co  0.250  0.750  0.500
Co  0.500  0.500  0.000
Te  0.750  0.250  0.500

Summary:
symmetry	I-4m2
E_form (uncorrected)	-0.05	eV per atom
total magnetic moment	0.01	μB/f.u.
DOS at the Fermi energy	0.891	states/eV per atom

=====

RbBSeN2: relaxed, PBE.

Lattice parameters (Å, degrees): 5.261 5.261 6.673 90.00 90.00 90.00
Positions (direct):
Rb  0.000  0.000  0.000
B  0.500  0.500  0.500
Se  0.000  0.000  0.500
N  0.000  0.500  0.000
N  0.500  0.000  0.000

Summary:
symmetry	P4/mmm
E_form (uncorrected)	3.02	eV per atom
total magnetic moment	6.00	μB/f.u.
DOS at the Fermi energy	0.835	states/eV per atom